[1]
This record from Alexandria via LeMat-Bulk describes Ho5CdHg8 after structural relaxation. The functional is PBE-GGA.

The value obtained for the magnetization is 0.00 μB per formula unit. Its total energy is -2.2072 eV per atom.

Cell lengths 8.972, 8.972, 8.944 Å; angles 90.00, 90.00, 90.00 degrees
Space group I-4 (No. 82)
Unique sites:
Ho: 0.000 0.000 0.000 (multiplicity 2)
Ho: 0.120 0.261 0.358 (multiplicity 8)
Cd: 0.000 0.500 0.750 (multiplicity 2)
Hg: 0.079 0.172 0.694 (multiplicity 8)
Hg: 0.086 0.333 0.025 (multiplicity 8)

[2]
This record from Alexandria via LeMat-Bulk describes HoCd2Hg5 after structural relaxation. The functional is PBE-GGA.

The value obtained for the magnetization is 0.00 μB per formula unit. Its total energy is -1.0890 eV per atom.

Cell lengths 7.873, 7.873, 12.791 Å; angles 90.00, 90.00, 90.00 degrees
Space group I4/mcm (No. 140)
Unique sites:
Ho: 0.000 0.000 0.250 (multiplicity 4)
Cd: 0.144 0.356 0.000 (multiplicity 8)
Hg: 0.000 0.000 0.000 (multiplicity 4)
Hg: 0.152 0.348 0.340 (multiplicity 16)

[3]
This record from Alexandria via LeMat-Bulk describes HoCd7Hg12 after structural relaxation. The functional is PBE-GGA.

The value obtained for the magnetization is 0.00 μB per formula unit. Its total energy is -0.7555 eV per atom.

Cell lengths 13.7248, 13.7248, 9.2908 Å; angles 90.00, 90.00, 120.00 degrees
Space group R-3 (No. 148, hexagonal axes)
Unique sites:
Ho: 0.0000 0.0000 0.0000 (multiplicity 3)
Cd: 0.0000 0.0000 0.5000 (multiplicity 3)
Cd: 0.0652 0.5813 0.6200 (multiplicity 18)
Hg: 0.0062 0.7606 0.5632 (multiplicity 18)
Hg: 0.0307 0.8653 0.2528 (multiplicity 18)

[4]
This record from Alexandria via LeMat-Bulk describes HoCd7Hg12 after structural relaxation. The functional is PBE-GGA.

The value obtained for the magnetization is 0.00 μB per formula unit. Its total energy is -0.7613 eV per atom.

Cell lengths 13.1630, 13.1630, 10.3843 Å; angles 90.00, 90.00, 120.00 degrees
Space group R-3 (No. 148, hexagonal axes)
Unique sites:
Ho: 0.0000 0.0000 0.0000 (multiplicity 3)
Cd: 0.0000 0.0000 0.5000 (multiplicity 3)
Cd: 0.0095 0.1480 0.7482 (multiplicity 18)
Hg: 0.0500 0.2543 0.4309 (multiplicity 18)
Hg: 0.0495 0.7940 0.9575 (multiplicity 18)

[5]
This record from Alexandria via LeMat-Bulk describes Ho6CdHg2 after structural relaxation. The functional is PBE-GGA.

The value obtained for the magnetization is 0.00 μB per formula unit. Its total energy is -3.4579 eV per atom.

Cell lengths 9.776, 10.077, 10.362 Å; angles 90.00, 90.00, 90.00 degrees
Space group Immm (No. 71)
Unique sites:
Ho: 0.000 0.221 0.177 (multiplicity 8)
Ho: 0.180 0.227 0.500 (multiplicity 8)
Ho: 0.197 0.500 0.251 (multiplicity 8)
Cd: 0.000 0.500 0.000 (multiplicity 2)
Cd: 0.000 0.500 0.500 (multiplicity 2)
Hg: 0.000 0.000 0.362 (multiplicity 4)
Hg: 0.152 0.000 0.000 (multiplicity 4)

[6]
This record from Alexandria via LeMat-Bulk describes HoCd4Hg2 after structural relaxation. The functional is PBE-GGA.

The value obtained for the magnetization is 0.00 μB per formula unit. Its total energy is -1.4045 eV per atom.

Cell lengths 4.914, 19.730, 3.366 Å; angles 90.00, 90.00, 90.00 degrees
Space group Cmmm (No. 65)
Unique sites:
Ho: 0.000 0.000 0.000 (multiplicity 2)
Cd: 0.000 0.154 0.500 (multiplicity 4)
Cd: 0.000 0.293 0.000 (multiplicity 4)
Hg: 0.000 0.426 0.500 (multiplicity 4)

[7]
This record from Alexandria via LeMat-Bulk describes Ho3Cd3Hg2 after structural relaxation. The functional is PBE-GGA.

The value obtained for the magnetization is 0.00 μB per formula unit. Its total energy is -2.4758 eV per atom.

Cell lengths 7.8212, 7.8212, 3.8275 Å; angles 90.00, 90.00, 120.00 degrees
Space group P-62m (No. 189)
Unique sites:
Ho: 0.0000 0.3996 0.0000 (multiplicity 3)
Cd: 0.0000 0.7723 0.5000 (multiplicity 3)
Hg: 0.3333 0.6667 0.5000 (multiplicity 2)

[8]
This record from Alexandria via LeMat-Bulk describes Ho3Cd2Hg3 after structural relaxation. The functional is PBE-GGA.

The value obtained for the magnetization is 0.00 μB per formula unit. Its total energy is -2.4169 eV per atom.

Cell lengths 3.786, 5.167, 20.264 Å; angles 90.00, 90.00, 90.00 degrees
Space group Immm (No. 71)
Unique sites:
Ho: 0.000 0.000 0.000 (multiplicity 2)
Ho: 0.000 0.500 0.131 (multiplicity 4)
Cd: 0.000 0.000 0.240 (multiplicity 4)
Hg: 0.000 0.000 0.500 (multiplicity 2)
Hg: 0.000 0.500 0.379 (multiplicity 4)